NaCaMnC2 | GGA-PBE | optimized geometry

a b c (Å): 4.639 4.639 4.753
angles (deg): 90.00 90.00 90.00
Positions (direct):
Na 0.000 0.000 0.000
Ca 0.500 0.500 0.500
Mn 0.500 0.500 0.000
C 0.000 0.500 0.500
C 0.500 0.000 0.500

## Properties
The total energy comes out at -16.7 eV/f.u. As for the magnetization: 0.48 μB/cell. Its crystal system is tetragonal. The calculation puts the density at 2.31 g/cm3.